Entry 1:
The following is a DFT calculation (PBE-GGA) of a relaxed PmTaSb2 crystal.

ΔE to the lowest computed polymorph, meV per atom: 82.6
Raw formation energy, kcal/mol of atoms: -2.6
Density of states at the Fermi level, states/eV per cell: 4.36
Total magnetic moment, Bohr magnetons per cell: 0.0
Mass density, g cm⁻³: 9.88

CIF file:
```
data_PmTaSb2
_chemical_formula_sum 'Pm1 Ta1 Sb2'
_space_group_name_H-M_alt 'P 4/m m m'
_space_group_IT_number 123
_space_group_name_Hall '-P 4 2'
_cell_length_a 5.0570
_cell_length_b 5.0570
_cell_length_c 3.7441
_cell_angle_alpha 90.00
_cell_angle_beta 90.00
_cell_angle_gamma 90.00
loop_
_atom_site_label
_atom_site_type_symbol
_atom_site_fract_x
_atom_site_fract_y
_atom_site_fract_z
Pm1 Pm 0.0000 0.0000 0.0000
Ta1 Ta 0.5000 0.5000 0.0000
Sb1 Sb 0.0000 0.5000 0.5000
```



Entry 2:
The following is a DFT calculation (PBE-GGA) of a relaxed ZrSc2Al2Ru5 crystal.

DFT formation energy, eV per atom: -0.454
Density of states at the Fermi level, states/eV per cell: 16.97
Total magnetic moment, Bohr magnetons per cell: 0.0
Mass density, g cm⁻³: 7.50

CIF file:
```
data_ZrSc2Al2Ru5
_chemical_formula_sum 'Zr2 Sc4 Al4 Ru10'
_space_group_name_H-M_alt 'P 4/m b m'
_space_group_IT_number 127
_space_group_name_Hall '-P 4 2ab'
_cell_length_a 9.8816
_cell_length_b 9.8816
_cell_length_c 3.3569
_cell_angle_alpha 90.00
_cell_angle_beta 90.00
_cell_angle_gamma 90.00
loop_
_atom_site_label
_atom_site_type_symbol
_atom_site_fract_x
_atom_site_fract_y
_atom_site_fract_z
Zr1 Zr 0.0000 0.0000 0.0000
Sc1 Sc 0.1705 0.3295 0.0000
Al1 Al 0.1272 0.6272 0.0000
Ru1 Ru 0.0000 0.5000 0.5000
Ru2 Ru 0.0726 0.7975 0.5000
```



Entry 3:
The following is a DFT calculation (PBE-GGA) of a relaxed Sc2CrH2 crystal.

Density of states at the Fermi level, states/eV per cell: 6.55
Total magnetic moment, Bohr magnetons per cell: 6.5
Mass density, g cm⁻³: 3.69
Calculated total energy, eV per atom: -6.005

CIF file:
```
data_Sc2CrH2
_chemical_formula_sum 'Sc4 Cr2 H4'
_space_group_name_H-M_alt 'I 4/m m m'
_space_group_IT_number 139
_space_group_name_Hall '-I 4 2'
_cell_length_a 3.3328
_cell_length_b 3.3328
_cell_length_c 11.6775
_cell_angle_alpha 90.00
_cell_angle_beta 90.00
_cell_angle_gamma 90.00
loop_
_atom_site_label
_atom_site_type_symbol
_atom_site_fract_x
_atom_site_fract_y
_atom_site_fract_z
Sc1 Sc 0.0000 0.0000 0.1483
Cr1 Cr 0.0000 0.0000 0.5000
H1 H 0.0000 0.5000 0.2500
```